A relaxed AcThS3 crystal. Source: Alexandria via LeMat-Bulk, functional PBE.

Cell lengths 7.5834, 4.1746, 16.1662 Å; angles 90.00, 90.00, 90.00 degrees
With the nearest neighbours (Å) after each atom.
Space group Pnma (No. 62)
Symmetry-distinct sites (fractional):
Ac  0.1278  0.2500  0.1992 x4  6 S 2.98-3.03
Th  0.2458  0.7500  0.4565 x4  7 S 2.86-3.01
S  0.0116  0.2500  0.4020 x4  3 Th 2.88-3.01
S  0.1338  0.7500  0.0631 x4  3 Th 2.86-2.96, 2 Ac 3.03
S  0.1606  0.2500  0.7854 x4  1 Th 2.86, 4 Ac 2.98-3.03

electronic total energy: -6.8390 eV per atom
raw formation energy: -2057 meV/atom

A relaxed SmDy6Er2Th3 crystal. Source: Alexandria via LeMat-Bulk, functional PBE.

Cell lengths 6.1709, 10.6850, 11.7265 Å; angles 90.00, 100.12, 90.00 degrees
With the nearest neighbours (Å) after each atom.
Space group C2/m (No. 12)
Symmetry-distinct sites (fractional):
Sm  0.0000  0.0000  0.0000 x2  6 Er 3.56, 6 Dy 3.58
Dy  0.2494  0.0000  0.7464 x4  3 Th 3.51, 6 Dy 3.56-3.57, 2 Er 3.58, 1 Sm 3.58
Dy  0.2486  0.3331  0.7463 x8  3 Th 3.51, 6 Dy 3.56-3.57, 2 Er 3.58, 1 Sm 3.58
Er  0.0000  0.3332  0.0000 x4  3 Sm 3.56, 3 Er 3.56, 6 Dy 3.58
Th  0.0000  0.1664  0.5000 x4  6 Dy 3.51, 6 Th 3.56-3.57
Th  0.0000  0.5000  0.5000 x2  6 Dy 3.51, 6 Th 3.56

electronic total energy: -5.2868 eV per atom
ΔE_f: 0.02 eV per atom